# 1
Density functional theory data (GGA-PBE) for SrYTh after structural relaxation.

Cell: 5.700 5.700 5.700 Å, 60.00 60.00 60.00°
Sites, in units of the cell vectors:
Sr: 0.000 0.000 0.000
Y: 0.250 0.250 0.250
Th: 0.500 0.500 0.500

E above lowest polymorph	0.0	meV per atom
raw total energy	-12.6	eV/cell
crystal system	cubic

---

# 2
Density functional theory data (GGA-PBE) for SrThZn after structural relaxation.

Cell: 5.196 5.196 5.196 Å, 60.00 60.00 60.00°
Sites, in units of the cell vectors:
Sr: 0.000 0.000 0.000
Th: 0.500 0.500 0.500
Zn: 0.250 0.250 0.250

E above lowest polymorph	0.0	meV per atom
raw total energy	-9.3	eV/cell
crystal system	cubic

---

# 3
Density functional theory data (GGA-PBE) for SrTmTl after structural relaxation.

Cell: 5.394 5.394 5.394 Å, 60.00 60.00 60.00°
Sites, in units of the cell vectors:
Sr: 0.000 0.000 0.000
Tm: 0.500 0.500 0.500
Tl: 0.250 0.250 0.250

raw total energy	-8.6	eV/cell
crystal system	cubic

---

# 4
Density functional theory data (GGA-PBE) for SrUTl after structural relaxation.

Cell: 5.437 5.437 5.437 Å, 60.00 60.00 60.00°
Sites, in units of the cell vectors:
Sr: 0.000 0.000 0.000
U: 0.500 0.500 0.500
Tl: 0.250 0.250 0.250

E above lowest polymorph	0.0	meV per atom
raw total energy	-13.0	eV/cell
crystal system	cubic

---

# 5
Density functional theory data (GGA-PBE) for SrTm after structural relaxation.

Cell: 5.851 5.851 5.851 Å, 60.00 60.00 60.00°
Sites, in units of the cell vectors:
Sr: 0.000 0.000 0.000
Tm: 0.750 0.750 0.750

E above lowest polymorph	1491.9	meV per atom
raw total energy	-2.6	eV/cell
crystal system	cubic

---

# 6
Density functional theory data (GGA-PBE) for SrTm after structural relaxation.

Cell: 3.770 3.770 6.285 Å, 90.00 90.00 120.00°
Sites, in units of the cell vectors:
Sr: 0.000 0.000 0.000
Tm: 0.667 0.333 0.500

E above lowest polymorph	0.0	meV per atom
raw total energy	-5.6	eV/cell
crystal system	hexagonal

---

# 7
Density functional theory data (GGA-PBE) for Sr2Tm after structural relaxation.

Cell: 7.217 7.217 7.217 Å, 60.00 60.00 60.00°
Sites, in units of the cell vectors:
Sr: 0.000 0.000 0.000
Sr: 0.000 0.000 0.500
Sr: 0.000 0.500 0.000
Sr: 0.500 0.000 0.000
Tm: 0.375 0.375 0.375
Tm: 0.625 0.625 0.625

raw total energy	-12.5	eV/cell
crystal system	cubic

---

# 8
Density functional theory data (GGA-PBE) for SrTm after structural relaxation.

Cell: 4.972 4.972 4.972 Å, 60.00 60.00 60.00°
Sites, in units of the cell vectors:
Sr: 0.000 0.000 0.000
Tm: 0.500 0.500 0.500

E above lowest polymorph	610.9	meV per atom
raw total energy	-4.4	eV/cell
crystal system	cubic

---

# 9
Density functional theory data (GGA-PBE) for SrTmZn after structural relaxation.

Cell: 5.145 5.145 5.145 Å, 60.00 60.00 60.00°
Sites, in units of the cell vectors:
Sr: 0.000 0.000 0.000
Tm: 0.500 0.500 0.500
Zn: 0.250 0.250 0.250

E above lowest polymorph	0.0	meV per atom
raw total energy	-6.9	eV/cell
crystal system	cubic

---

# 10
Density functional theory data (GGA-PBE) for SrU after structural relaxation.

Cell: 4.777 4.777 4.777 Å, 60.00 60.00 60.00°
Sites, in units of the cell vectors:
Sr: 0.000 0.000 0.000
U: 0.500 0.500 0.500

E above lowest polymorph	960.9	meV per atom
raw total energy	-9.0	eV/cell
crystal system	cubic

---

# 11
Density functional theory data (GGA-PBE) for SrU after structural relaxation.

Cell: 4.995 4.995 4.995 Å, 60.00 60.00 60.00°
Sites, in units of the cell vectors:
Sr: 0.000 0.000 0.000
U: 0.750 0.750 0.750

E above lowest polymorph	1898.0	meV per atom
raw total energy	-7.2	eV/cell
crystal system	cubic

---

# 12
Density functional theory data (GGA-PBE) for SrU after structural relaxation.

Cell: 3.466 3.466 6.407 Å, 90.00 90.00 120.00°
Sites, in units of the cell vectors:
Sr: 0.000 0.000 0.000
U: 0.667 0.333 0.500

E above lowest polymorph	0.0	meV per atom
raw total energy	-10.9	eV/cell
crystal system	hexagonal

---

> The highest raw total energy belongs to which entry?

number 5

---

What did the ninth record say?
Density functional theory data (GGA-PBE) for SrTmZn after structural relaxation.

Cell: 5.145 5.145 5.145 Å, 60.00 60.00 60.00°
Sites, in units of the cell vectors:
Sr: 0.000 0.000 0.000
Tm: 0.500 0.500 0.500
Zn: 0.250 0.250 0.250

E above lowest polymorph	0.0	meV per atom
raw total energy	-6.9	eV/cell
crystal system	cubic

---

Repeat the fourth record exactly.
Density functional theory data (GGA-PBE) for SrUTl after structural relaxation.

Cell: 5.437 5.437 5.437 Å, 60.00 60.00 60.00°
Sites, in units of the cell vectors:
Sr: 0.000 0.000 0.000
U: 0.500 0.500 0.500
Tl: 0.250 0.250 0.250

E above lowest polymorph	0.0	meV per atom
raw total energy	-13.0	eV/cell
crystal system	cubic

---

> Which of these has the lowest raw total energy?

SrUTl